# 1
Computed, not measured: a relaxed AcCe2PmBi4 crystal at the PBE level of DFT.

Geometry as extended XYZ:
```
8
Lattice="8.0860 0.0000 0.0000 0.0000 4.6694 0.0000 -2.6938 0.0000 7.6322" Properties=species:S:1:pos:R:3 pbc="T T T"
Ac 0.0000 0.0000 0.0000
Ce 2.6961 0.0000 3.8161
Ce 4.0430 2.3347 0.0000
Pm -1.3469 2.3347 3.8161
Bi 0.0627 0.0000 5.6793
Bi 1.4108 2.3347 1.9990
Bi 3.9814 2.3347 5.6331
Bi 5.3295 0.0000 1.9529
```

Results
Raw total energy ... -5.401 eV per atom
Crystal system ... monoclinic

# 2
Computed, not measured: a relaxed Ac2Ce3PrBi6 crystal at the PBE level of DFT.

Geometry as extended XYZ:
```
12
Lattice="4.0744 -7.0562 0.0000 4.0744 7.0562 0.0000 -2.7196 0.0000 7.6861" Properties=species:S:1:pos:R:3 pbc="T T T"
Ac 4.0744 4.7160 0.0000
Ac 4.0744 -4.7160 0.0000
Ce -1.3598 0.0000 3.8430
Ce 2.7146 2.3841 3.8430
Ce 2.7146 -2.3841 3.8430
Pr 4.0744 0.0000 0.0000
Bi 0.0282 2.3037 5.6733
Bi 1.4185 0.0000 2.0331
Bi 0.0282 -2.3037 5.6733
Bi 5.4009 2.3037 2.0127
Bi 4.0106 0.0000 5.6530
Bi 5.4009 -2.3037 2.0127
```

Results
Raw total energy ... -5.389 eV per atom
Crystal system ... monoclinic

# 3
Computed, not measured: a relaxed AcCePr2Bi4 crystal at the PBE level of DFT.

Geometry as extended XYZ:
```
8
Lattice="8.1335 0.0000 0.0000 0.0000 4.6975 0.0000 -2.7052 0.0000 7.6716" Properties=species:S:1:pos:R:3 pbc="T T T"
Ac 0.0000 0.0000 0.0000
Ce 4.0667 2.3487 0.0000
Pr -1.3526 2.3487 3.8358
Pr 2.7141 0.0000 3.8358
Bi 0.0649 0.0000 5.7423
Bi 1.4207 2.3487 1.9700
Bi 4.0076 2.3487 5.7016
Bi 5.3633 0.0000 1.9293
```

Results
Raw total energy ... -5.309 eV per atom
Crystal system ... monoclinic

> Number 3 is which compound?

AcCePr2Bi4

> Which of these has the lowest raw total energy?

AcCe2PmBi4